The following is a PBE calculation of a geometry-optimized Ca3BeC structure, from Alexandria via LeMat-Bulk.

```
5
Lattice="5.027 0.000 0.000 0.000 5.027 0.000 0.000 0.000 5.027" Properties=species:S:1:pos:R:3 pbc="T T T"
Ca 0.000 0.000 2.514
Ca 0.000 2.514 0.000
Ca 2.514 0.000 0.000
Be 2.514 2.514 2.514
C 0.000 0.000 0.000
```

Distance to the lowest polymorph of the same formula   0.0 meV per atom
Formation energy from the elements   462 meV/atom



The following is a PBE calculation of a geometry-optimized CaBeC3 structure, from Alexandria via LeMat-Bulk.

```
5
Lattice="4.380 0.000 0.000 0.000 4.380 0.000 0.000 0.000 4.380" Properties=species:S:1:pos:R:3 pbc="T T T"
Ca 0.000 0.000 0.000
Be 2.190 2.190 2.190
C 0.000 0.000 2.190
C 0.000 2.190 0.000
C 2.190 0.000 0.000
```

Distance to the lowest polymorph of the same formula   2040.3 meV per atom
Formation energy from the elements   3693 meV/atom



The following is a PBE calculation of a geometry-optimized CaBe3C structure, from Alexandria via LeMat-Bulk.

```
5
Lattice="5.624 0.000 0.000 0.000 5.624 0.000 0.000 0.000 5.624" Properties=species:S:1:pos:R:3 pbc="T T T"
Ca 0.000 0.000 0.000
Be 0.000 0.000 2.812
Be 0.000 2.812 0.000
Be 2.812 0.000 0.000
C 2.812 2.812 2.812
```

Distance to the lowest polymorph of the same formula   2530.8 meV per atom
Formation energy from the elements   3259 meV/atom



The following is a PBE calculation of a geometry-optimized Ca2BeCrC structure, from Alexandria via LeMat-Bulk.

```
5
Lattice="5.452 0.000 0.000 0.000 5.452 0.000 0.000 0.000 3.181" Properties=species:S:1:pos:R:3 pbc="T T T"
Ca 0.000 2.726 0.000
Ca 2.726 0.000 0.000
Be 0.000 0.000 0.000
Cr 2.726 2.726 1.591
C 0.000 0.000 1.591
```

Formation energy from the elements   973 meV/atom



Which of these has the highest formation energy from the elements?
CaBeC3



The highest formation energy from the elements belongs to which entry?
CaBeC3



Which of these has the lowest formation energy from the elements?
Ca3BeC



What is the formula in the fourth record?
Ca2BeCrC